(1)
The following is a GGA-PBE calculation of a geometry-optimized AcSnSe structure, from Alexandria via LeMat-Bulk.

Properties
ΔE_f (raw): -0.900 eV/atom
distance to the lowest polymorph of the same formula: 0.4178 eV per atom
energy: -4.766 eV per atom
D(E_F): 0.9 states/eV per cell
SG: I4mm (107)

Cell lengths 4.2570, 4.2570, 6.4525 Å; angles 109.26, 109.26, 90.00 degrees
Last column: nearest neighbours and their distance in Å.
Positions (direct):
Se1 0.6068 0.6068 0.2135  1 Sn 2.85, 4 Ac 3.12
Sn1 0.3568 0.3568 0.7137  1 Se 2.85
Ac1 0.0364 0.0364 0.0728  4 Se 3.12

---

(2)
The following is a GGA-PBE calculation of a geometry-optimized Ca3Cd2Ga4 structure, from Alexandria via LeMat-Bulk.

Properties
distance to the lowest polymorph of the same formula: 0.0000 eV per atom
energy: -2.657 eV per atom
D(E_F): 8.0 states/eV per cell
SG: Cm (8)

Cell lengths 5.9722, 5.9722, 16.9294 Å; angles 76.44, 76.44, 45.80 degrees
Last column: nearest neighbours and their distance in Å.
Positions (direct):
Ga1 0.9077 0.9077 0.5787  3 Ga 2.69-2.83, 1 Cd 2.81
Ca1 0.6129 0.6129 0.5683  9 Ga 3.15-3.44, 3 Cd 3.32-3.39
Cd1 0.4270 0.4270 0.7567  4 Ga 2.73-2.95
Ca2 0.2748 0.2748 0.2399  8 Ga 3.14-3.44, 4 Cd 3.32-3.38
Ga2 0.2431 0.2431 0.9053  2 Ga 2.66, 2 Cd 2.80-2.97
Ga3 0.7087 0.7087 0.3687  2 Ga 2.64-2.84, 2 Cd 2.74
Ca3 0.7216 0.7216 0.7621  9 Ga 3.21-3.47, 3 Cd 3.23-3.27
Cd2 0.7519 0.7519 0.1004  2 Ga 2.79-2.99, 2 Cd 2.81
Ca4 0.0554 0.0554 0.0978  6 Cd 3.18-3.48, 6 Ga 3.26-3.49
Ca5 0.9493 0.9493 0.8979  5 Cd 3.23-3.56, 7 Ga 3.23-3.43
Cd3 0.0877 0.0877 0.4276  4 Ga 2.74-2.97
Ga4 0.9516 0.9516 0.2973  3 Ga 2.64-2.68
Ga5 0.5689 0.5689 0.2489  3 Ga 2.68-2.84, 1 Cd 2.79
Ga6 0.0472 0.0472 0.6981  2 Ga 2.64-2.83, 2 Cd 2.73
Ga7 0.6352 0.6352 0.9590  2 Ga 2.66, 1 Cd 2.75
Ga8 0.2902 0.2902 0.6276  3 Ga 2.64-2.69, 1 Cd 2.95
Cd4 0.3823 0.3823 0.0343  2 Ga 2.75-2.97, 2 Cd 2.81
Ca6 0.3846 0.3846 0.4316  9 Ga 3.20-3.46, 3 Cd 3.21-3.29

---

(3)
The following is a GGA-PBE calculation of a geometry-optimized TbPm2Pd8 structure, from Alexandria via LeMat-Bulk.

Properties
energy: -5.754 eV per atom
D(E_F): 4.9 states/eV per cell
SG: C2/m (12)

Cell lengths 4.2674, 6.8614, 7.7798 Å; angles 108.03, 105.92, 90.00 degrees
Last column: nearest neighbours and their distance in Å.
Positions (direct):
Pd1 0.9650 0.2818 0.9300  9 Pd 2.81-3.10, 1 Pm 2.85, 2 Tb 3.04
Pd2 0.8606 0.8294 0.7212  7 Pd 2.94-3.11, 2 Tb 2.95, 3 Pm 2.99-3.21
Pd3 0.4120 0.5526 0.8240  8 Pd 2.81-3.11, 1 Tb 2.92, 2 Pm 2.94
Pd4 0.5880 0.4474 0.1760  8 Pd 2.81-3.11, 1 Tb 2.92, 2 Pm 2.94
Pd5 0.0350 0.7182 0.0700  9 Pd 2.81-3.10, 1 Pm 2.85, 2 Tb 3.04
Pd6 0.6754 0.9038 0.3509  3 Pm 2.88, 1 Tb 2.91, 8 Pd 2.97-3.06
Tb1 0.5000 0.0000 0.0000  12 Pd 2.91-3.04
Pd7 0.3246 0.0962 0.6491  3 Pm 2.88, 1 Tb 2.91, 8 Pd 2.97-3.06
Pm1 0.7836 0.3352 0.5671  8 Pd 2.85-2.99
Pm2 0.2164 0.6648 0.4329  8 Pd 2.85-2.99
Pd8 0.1394 0.1706 0.2788  7 Pd 2.94-3.11, 2 Tb 2.95, 3 Pm 2.99-3.21

---

(4)
The following is a GGA-PBE calculation of a geometry-optimized Hf3AlN structure, from Alexandria via LeMat-Bulk.

Properties
ΔE_f (raw): -0.718 eV/atom
energy: -9.103 eV per atom
D(E_F): 5.2 states/eV per cell
SG: C2/m (12)

Cell lengths 4.5412, 5.1291, 9.5946 Å; angles 63.04, 90.00, 116.28 degrees
Last column: nearest neighbours and their distance in Å.
Positions (direct):
Al1 0.6174 0.2348 0.3297  1 N 2.03
N1 0.8725 0.7449 0.1955  1 Al 2.03, 3 Hf 2.15-2.22
Hf1 0.8598 0.7195 0.9716  2 N 2.15-2.21
Al2 0.3826 0.7652 0.6703  1 N 2.03
Hf2 0.1140 0.2281 0.5800  1 N 2.22
Hf3 0.8860 0.7719 0.4200  1 N 2.22
Hf4 0.3567 0.7134 0.2048  2 N 2.27
Hf5 0.1402 0.2805 0.0284  2 N 2.15-2.21
Hf6 0.6433 0.2866 0.7952  2 N 2.27
N2 0.1275 0.2551 0.8045  1 Al 2.03, 3 Hf 2.15-2.22

---

- Number 4 is which compound?
  Hf3AlN